Entry 1:
Here is a relaxed Nd2EuTl crystal from Alexandria. Energies are from PBE.

Structure (POSCAR):
```
Nd2EuTl
1.0
5.079 0.000 0.000
0.000 5.079 0.000
0.000 0.000 4.931
Nd Eu Tl
2 1 1
Cartesian
0.000 2.539 0.000 Nd
2.539 0.000 0.000 Nd
0.000 0.000 2.465 Eu
2.539 2.539 2.465 Tl
```

Properties
The value obtained for the formation energy is -0.175 eV per atom. The distance to the lowest polymorph of the same formula comes out at 0 meV/atom.

***

Entry 2:
Here is a relaxed Pm3AlB2Pt9 crystal from Alexandria. Energies are from PBE.

Structure (POSCAR):
```
Pm3AlB2Pt9
1.0
5.801 0.000 0.000
-2.901 5.024 0.000
0.000 0.000 9.207
Pm Al B Pt
3 1 2 9
Cartesian
0.000 0.000 0.000 Pm
0.000 3.349 5.605 Pm
2.901 1.675 3.603 Pm
0.000 0.000 4.604 Al
0.000 3.349 1.375 B
2.901 1.675 7.833 B
-1.450 2.512 0.000 Pt
0.000 1.654 2.660 Pt
-1.468 4.197 2.660 Pt
1.432 0.827 6.547 Pt
2.901 0.000 0.000 Pt
1.450 2.512 0.000 Pt
1.468 4.197 2.660 Pt
4.369 0.827 6.547 Pt
2.901 3.370 6.547 Pt
```

Properties
The value obtained for the formation energy is -0.882 eV per atom.

***

Entry 3:
Here is a relaxed BaMgCoP crystal from Alexandria. Energies are from PBE.

Structure (POSCAR):
```
BaMgCoP
1.0
3.970 0.000 0.000
0.000 3.970 0.000
0.000 0.000 12.535
Ba Mg Co P
2 2 2 2
Cartesian
0.992 0.992 2.779 Ba
2.977 2.977 9.756 Ba
0.992 2.977 6.268 Mg
2.977 0.992 6.268 Mg
0.992 2.977 0.000 Co
2.977 0.992 0.000 Co
0.992 0.992 11.455 P
2.977 2.977 1.080 P
```

Properties
The value obtained for the formation energy is -0.486 eV per atom.

***

Entry 4:
Here is a relaxed LiAc3B2O8 crystal from Alexandria. Energies are from PBE.

Structure (POSCAR):
```
LiAc3B2O8
1.0
5.353 0.000 0.000
-2.677 4.636 0.000
0.000 0.000 6.844
Li Ac B O
1 3 2 8
Cartesian
0.000 0.000 0.000 Li
0.000 0.000 3.422 Ac
0.000 3.091 1.101 Ac
2.677 1.545 5.742 Ac
0.000 3.091 4.928 B
2.677 1.545 1.916 B
0.000 1.681 5.497 O
-1.221 3.796 5.497 O
0.000 3.091 3.470 O
1.456 0.841 1.347 O
1.221 3.796 5.497 O
2.677 1.545 3.373 O
3.898 0.841 1.347 O
2.677 2.955 1.347 O
```

Properties
The uncorrected formation energy is -2982.8 meV per atom.

***

Entry 5:
Here is a relaxed Ti2RuCl crystal from Alexandria. Energies are from PBE.

Structure (POSCAR):
```
Ti2RuCl
1.0
6.466 0.000 0.000
0.000 6.466 0.000
0.000 0.000 6.631
Ti Ru Cl
8 4 4
Cartesian
1.559 1.616 0.829 Ti
1.616 4.791 2.487 Ti
1.616 4.907 5.802 Ti
1.674 1.616 4.145 Ti
4.791 4.849 4.145 Ti
4.849 1.559 5.802 Ti
4.849 1.674 2.487 Ti
4.907 4.849 0.829 Ti
0.000 0.000 3.316 Ru
0.000 3.233 4.974 Ru
3.233 0.000 1.658 Ru
3.233 3.233 0.000 Ru
0.000 0.000 0.000 Cl
0.000 3.233 1.658 Cl
3.233 0.000 4.974 Cl
3.233 3.233 3.316 Cl
```

Properties
The distance to the lowest polymorph of the same formula comes out at 0 meV/atom. The uncorrected formation energy is -28.3 meV per atom.

***

Entry 6:
Here is a relaxed KMg2AuS crystal from Alexandria. Energies are from PBE.

Structure (POSCAR):
```
KMg2AuS
1.0
5.092 0.000 0.000
0.000 5.092 0.000
0.000 0.000 5.952
K Mg Au S
1 2 1 1
Cartesian
0.000 0.000 0.000 K
0.000 2.546 2.976 Mg
2.546 0.000 2.976 Mg
0.000 0.000 2.976 Au
2.546 2.546 0.000 S
```

Properties
The uncorrected formation energy is -86.8 meV per atom.

***

Entry 7:
Here is a relaxed CaTl2Fe crystal from Alexandria. Energies are from PBE.

Structure (POSCAR):
```
CaTl2Fe
1.0
7.328 0.000 0.000
0.000 7.328 0.000
0.000 0.000 7.328
Ca Tl Fe
4 8 4
Cartesian
0.000 0.000 0.000 Ca
0.000 3.664 3.664 Ca
3.664 0.000 3.664 Ca
3.664 3.664 0.000 Ca
0.000 0.000 3.664 Tl
0.000 3.664 0.000 Tl
1.832 1.832 5.496 Tl
1.832 5.496 1.832 Tl
3.664 0.000 0.000 Tl
3.664 3.664 3.664 Tl
5.496 1.832 1.832 Tl
5.496 5.496 5.496 Tl
1.832 1.832 1.832 Fe
1.832 5.496 5.496 Fe
5.496 1.832 5.496 Fe
5.496 5.496 1.832 Fe
```

Properties
The value obtained for the formation energy is 0.377 eV per atom.

***

Entry 8:
Here is a relaxed AlTe2BrN crystal from Alexandria. Energies are from PBE.

Structure (POSCAR):
```
AlTe2BrN
1.0
5.855 0.000 0.000
0.000 5.855 0.000
0.000 0.000 3.455
Al Te Br N
1 2 1 1
Cartesian
0.000 0.000 0.000 Al
0.000 2.927 0.000 Te
2.927 0.000 0.000 Te
2.927 2.927 1.728 Br
0.000 0.000 1.728 N
```

Properties
The distance to the lowest polymorph of the same formula comes out at 0 meV/atom. The uncorrected formation energy is 350.2 meV per atom.

***

Entry 9:
Here is a relaxed CaBiAu2 crystal from Alexandria. Energies are from PBE.

Structure (POSCAR):
```
CaBiAu2
1.0
3.423 0.000 0.000
0.000 5.068 0.000
0.000 0.000 12.033
Ca Bi Au
2 2 4
Cartesian
0.000 0.000 0.000 Ca
1.711 2.534 6.016 Ca
0.000 0.000 6.016 Bi
1.711 2.534 0.000 Bi
0.000 0.000 3.104 Au
0.000 0.000 8.929 Au
1.711 2.534 2.912 Au
1.711 2.534 9.120 Au
```

Properties
The value obtained for the formation energy is -0.106 eV per atom.

***

Entry 10:
Here is a relaxed Ti2CoHgGe crystal from Alexandria. Energies are from PBE.

Structure (POSCAR):
```
Ti2CoHgGe
1.0
4.737 0.000 0.000
0.000 4.737 0.000
0.000 0.000 4.290
Ti Co Hg Ge
2 1 1 1
Cartesian
0.000 2.368 0.000 Ti
2.368 0.000 0.000 Ti
0.000 0.000 2.145 Co
2.368 2.368 2.145 Hg
0.000 0.000 0.000 Ge
```

Properties
The value obtained for the formation energy is 0.410 eV per atom.

***

Entry 11:
Here is a relaxed Ta4SbMo crystal from Alexandria. Energies are from PBE.

Structure (POSCAR):
```
Ta4SbMo
1.0
0.000 3.846 3.846
3.846 0.000 3.846
3.846 3.846 0.000
Ta Sb Mo
4 1 1
Cartesian
0.961 0.961 0.961 Ta
2.885 2.885 0.961 Ta
2.885 0.961 2.885 Ta
0.961 2.885 2.885 Ta
3.846 3.846 3.846 Sb
5.769 5.769 5.769 Mo
```

Properties
The uncorrected formation energy is 387.6 meV per atom.

***

Entry 12:
Here is a relaxed RbFePbCl6 crystal from Alexandria. Energies are from PBE.

Structure (POSCAR):
```
RbFePbCl6
1.0
7.044 0.000 0.000
-3.522 6.100 0.000
0.000 0.000 7.041
Rb Fe Pb Cl
1 1 1 6
Cartesian
0.000 0.000 0.000 Rb
3.522 2.033 3.520 Fe
0.000 4.067 3.520 Pb
2.606 0.297 4.944 Cl
1.561 2.108 2.096 Cl
4.438 0.297 2.096 Cl
2.477 3.695 4.944 Cl
5.484 2.108 4.944 Cl
4.568 3.695 2.096 Cl
```

Properties
The uncorrected formation energy is -1158.9 meV per atom.